BaMoCl2: PBEsol geometry, meta-GGA SCAN.

Cell and atoms, written as POSCAR:
```
BaMoCl2
1.0
3.489 0.000 0.000
0.000 4.085 0.000
0.000 0.000 6.160
Ba Mo Cl
1 1 2
Cartesian
0.000 0.000 0.000
1.744 0.000 3.080
1.744 2.043 1.670
1.744 2.043 4.490
```

## Properties
The value obtained for the total magnetization is 1.699 μB per formula unit. The space group is Pmmm, No. 47. Its density of states at the Fermi level is 1.6 states/eV/cell. The energy above the most stable polymorph in this dataset comes out at 0 meV per atom.